Entry 1:
The following is a GGA-PBE calculation of crystalline Cs2MgTl6In at its relaxed geometry, from Alexandria via LeMat-Bulk.

Cell lengths 7.8499, 7.8499, 42.6596 Å; angles 90.00, 90.00, 120.00 degrees
Space group R-3m (No. 166, hexagonal axes)
One atom of each set of equivalent atoms:
Cs  0.0000  0.0000  0.1394 [6 per cell]
Cs  0.0000  0.0000  0.3125 [6 per cell]
Mg  0.0000  0.0000  0.4211 [6 per cell]
Tl  0.0473  0.5237  0.7239 [18 per cell]
Tl  0.0593  0.5296  0.8868 [18 per cell]
In  0.0000  0.0000  0.0000 [3 per cell]
In  0.0000  0.0000  0.5000 [3 per cell]

Computed properties:
* E_form: -5 meV/atom

Entry 2:
The following is a GGA-PBE calculation of crystalline CsMgTl2In at its relaxed geometry, from Alexandria via LeMat-Bulk.

Cell lengths 5.842, 5.842, 5.660 Å; angles 90.00, 90.00, 90.00 degrees
Space group P4/mmm (No. 123)
One atom of each set of equivalent atoms:
Cs  0.000  0.000  0.000 [1 per cell]
Mg  0.500  0.500  0.500 [1 per cell]
Tl  0.000  0.500  0.500 [2 per cell]
In  0.500  0.500  0.000 [1 per cell]

Computed properties:
* E_form: 103 meV/atom

Entry 3:
The following is a GGA-PBE calculation of crystalline CsMgTl4In2 at its relaxed geometry, from Alexandria via LeMat-Bulk.

Cell lengths 5.3042, 5.3042, 33.2249 Å; angles 90.00, 90.00, 120.00 degrees
Space group R-3m (No. 166, hexagonal axes)
One atom of each set of equivalent atoms:
Cs  0.0000  0.0000  0.0000 [3 per cell]
Mg  0.0000  0.0000  0.5000 [3 per cell]
Tl  0.0000  0.0000  0.1341 [6 per cell]
Tl  0.0000  0.0000  0.4055 [6 per cell]
In  0.0000  0.0000  0.2338 [6 per cell]

Computed properties:
* E_form: -54 meV/atom

Entry 4:
The following is a GGA-PBE calculation of crystalline CsMnIn2 at its relaxed geometry, from Alexandria via LeMat-Bulk.

Cell lengths 6.081, 6.081, 18.143 Å; angles 90.00, 90.00, 90.00 degrees
Space group I4_1/amd (No. 141, origin choice 2)
One atom of each set of equivalent atoms:
Cs  0.000  0.250  0.375 [4 per cell]
Mn  0.000  0.250  0.875 [4 per cell]
In  0.000  0.000  0.000 [8 per cell]

Computed properties:
* E_form: 412 meV/atom